Compound: Zr6AlHg5
Source: Alexandria
Functional: GGA-PBE
Structure: relaxed

CIF file:
```
data_Zr6AlHg5
_chemical_formula_sum 'Zr12 Al2 Hg10'
_cell_length_a 4.4503
_cell_length_b 13.4088
_cell_length_c 8.5327
_cell_angle_alpha 90.00
_cell_angle_beta 90.00
_cell_angle_gamma 90.00
_symmetry_space_group_name_H-M 'C m m m'
_symmetry_Int_Tables_number 65
_symmetry_space_group_name_Hall '-C 2 2'
loop_
_atom_site_label
_atom_site_fract_x
_atom_site_fract_y
_atom_site_fract_z
Zr1 0.0000 0.0000 0.2469
Zr2 0.0000 0.3343 0.2459
Al1 0.0000 0.5000 0.0000
Hg1 0.0000 0.1622 0.0000
Hg2 0.0000 0.1673 0.5000
Hg3 0.0000 0.5000 0.5000
```

## Properties
size of the total moment = 0.000 μB/cell
formation energy = -0.2139 eV per atom